1.
The following is a DFT calculation (PBE-GGA) of a geometry-optimized NaReOs2 structure.

Cell: 7.3528 7.3528 5.8506 Å, 51.07 51.07 90.00°
Sites, in units of the cell vectors:
Re 0.0000 0.0000 0.0000
Re 0.7500 0.2500 0.5000
Os 0.6794 0.1250 0.2500
Os 0.0706 0.6250 0.2500
Os 0.3750 0.3206 0.7500
Os 0.8750 0.9294 0.7500
Na 0.5000 0.5000 0.0000
Na 0.2500 0.7500 0.5000

DFT formation energy: 4.52 eV/f.u.
E above lowest polymorph: 1.657 eV per formula unit
magnetization: 0.0 μB per cell
Fermi-level density of states: 4.19 states/eV/cell



2.
The following is a DFT calculation (PBE-GGA) of a geometry-optimized NaRe3Os structure.

Cell: 4.7887 4.7887 4.7887 Å, 90.00 90.00 90.00°
Each line ends with the local moment (μB).
Sites, in units of the cell vectors:
Re 0.0000 0.5000 0.0000  0.77
Re 0.0000 0.0000 0.5000  0.78
Re 0.5000 0.0000 0.0000  0.64
Os 0.0000 0.0000 0.0000  -0.03
Na 0.5000 0.5000 0.5000  0.00

DFT formation energy: 10.27 eV/f.u.
magnetization: 2.5 μB per cell
Fermi-level density of states: 5.00 states/eV/cell



3.
The following is a DFT calculation (PBE-GGA) of a geometry-optimized NaRe2OsS structure.

Cell: 4.7096 5.3714 4.7096 Å, 90.00 90.00 90.00°
Each line ends with the local moment (μB).
Sites, in units of the cell vectors:
Re 0.0000 0.0000 0.5000  1.40
Re 0.5000 0.0000 0.0000  1.46
S 0.5000 0.5000 0.5000  -0.04
Os 0.0000 0.0000 0.0000  -0.06
Na 0.0000 0.5000 0.0000  0.00

formation energy from raw total energies: 1.94 eV/atom
magnetization: 3.3 μB per cell
Fermi-level density of states: 4.41 states/eV/cell



4.
The following is a DFT calculation (PBE-GGA) of a geometry-optimized Na2ReTeOs structure.

Cell: 5.2987 4.9963 5.2987 Å, 90.00 90.00 90.00°
Each line ends with the local moment (μB).
Sites, in units of the cell vectors:
Re 0.0000 0.5000 0.0000  1.00
Te 0.0000 0.0000 0.0000  0.02
Os 0.5000 0.5000 0.5000  2.60
Na 0.0000 0.0000 0.5000  0.00
Na 0.5000 0.0000 0.0000  0.00

formation energy from raw total energies: 1.97 eV/atom
magnetization: 4.1 μB per cell
Fermi-level density of states: 5.31 states/eV/cell



5.
The following is a DFT calculation (PBE-GGA) of a geometry-optimized NaTlReOs2 structure.

Cell: 4.9501 4.6484 4.9501 Å, 90.00 90.00 90.00°
Each line ends with the local moment (μB).
Sites, in units of the cell vectors:
Re 0.5000 0.5000 0.5000  2.91
Tl 0.0000 0.0000 0.0000  0.00
Os 0.0000 0.0000 0.5000  -0.23
Os 0.5000 0.0000 0.0000  -0.25
Na 0.0000 0.5000 0.0000  0.00

DFT formation energy: 14.41 eV/f.u.
magnetization: 2.9 μB per cell
Fermi-level density of states: 4.38 states/eV/cell



6.
The following is a DFT calculation (PBE-GGA) of a geometry-optimized NaOs2Rh structure.

Cell: 7.6221 7.6221 5.9152 Å, 49.89 49.89 90.00°
Sites, in units of the cell vectors:
Rh 0.0000 0.0000 0.0000
Rh 0.7500 0.2500 0.5000
Os 0.6826 0.1250 0.2500
Os 0.0674 0.6250 0.2500
Os 0.3750 0.3174 0.7500
Os 0.8750 0.9326 0.7500
Na 0.5000 0.5000 0.0000
Na 0.2500 0.7500 0.5000

DFT formation energy: 4.61 eV/f.u.
E above lowest polymorph: 0.165 eV per formula unit
magnetization: 0.0 μB per cell
Fermi-level density of states: 11.74 states/eV/cell



7.
The following is a DFT calculation (PBE-GGA) of a geometry-optimized NaOsRh structure.

Cell: 4.0931 4.0931 4.6839 Å, 90.00 90.00 120.00°
Sites, in units of the cell vectors:
Rh 0.0000 0.0000 0.0000
Os 0.3333 0.6667 0.0000
Na 0.6667 0.3333 0.5000

DFT formation energy: 2.97 eV/f.u.
E above lowest polymorph: 1.991 eV per formula unit
magnetization: 0.0 μB per cell
Fermi-level density of states: 1.92 states/eV/cell



8.
The following is a DFT calculation (PBE-GGA) of a geometry-optimized NaOsRh structure.

Cell: 4.6304 4.6091 5.5018 Å, 68.53 110.95 102.27°
Sites, in units of the cell vectors:
Rh 0.7046 0.8883 0.4242
Rh 0.8801 0.3015 0.6834
Os 0.1366 0.0492 0.2237
Os 0.2844 0.4513 0.4413
Na 0.6830 0.5002 0.0259
Na 0.2929 0.8422 0.8504

DFT formation energy: 1.43 eV/f.u.
E above lowest polymorph: 0.446 eV per formula unit
magnetization: 0.0 μB per cell
Fermi-level density of states: 4.29 states/eV/cell